Entry 1:
VASP calculation (PBE-GGA) on crystalline Tb2MgZn12Cu3 at its relaxed geometry.

```
data_Tb2MgZn12Cu3
_chemical_formula_sum 'Tb6 Mg3 Zn36 Cu9'
_symmetry_space_group_name_H-M 'R -3 m'
_symmetry_Int_Tables_number 166
_symmetry_space_group_name_Hall '-R 3 2"'
_cell_length_a 8.2251
_cell_length_b 8.2251
_cell_length_c 20.0783
_cell_angle_alpha 90.00
_cell_angle_beta 90.00
_cell_angle_gamma 120.00
loop_
_atom_site_label
_atom_site_type_symbol
_atom_site_fract_x
_atom_site_fract_y
_atom_site_fract_z
Tb1 Tb 0.0000 0.0000 0.0923
Mg1 Mg 0.0000 0.0000 0.5000
Zn1 Zn 0.0156 0.5078 0.3451
Zn2 Zn 0.0995 0.5498 0.8834
Cu1 Cu 0.0000 0.5000 0.0000
```

=====

Entry 2:
VASP calculation (PBE-GGA) on crystalline MgNbHg2 at its relaxed geometry.

```
data_MgNbHg2
_chemical_formula_sum 'Mg1 Nb1 Hg2'
_symmetry_space_group_name_H-M 'P 4/m m m'
_symmetry_Int_Tables_number 123
_symmetry_space_group_name_Hall '-P 4 2'
_cell_length_a 3.156
_cell_length_b 3.156
_cell_length_c 7.945
_cell_angle_alpha 90.00
_cell_angle_beta 90.00
_cell_angle_gamma 90.00
loop_
_atom_site_label
_atom_site_type_symbol
_atom_site_fract_x
_atom_site_fract_y
_atom_site_fract_z
Mg1 Mg 0.000 0.000 0.000
Nb1 Nb 0.000 0.000 0.500
Hg1 Hg 0.500 0.500 0.246
```

=====

| no. | Fermi-level density of states (states/eV per atom) | formation energy (eV/atom) |
| --- | --- | --- |
| 1 | 0.430 | 0.237 |
| 2 | 0.372 | 0.071 |